Below is an optimized crystal structure of La2CdAg, with properties calculated at the PBE-GGA level.

Cell: 3.896 3.896 7.703 Å, 90.00 90.00 89.99°
Last column: magnetic moment on the atom in μB.
Atoms (fractional coordinates):
1 Cd 0.500 0.500 0.750  0.00
2 Ag 0.500 0.500 0.250  0.01
3 La 0.000 0.000 0.009  0.07
4 La 0.000 0.000 0.491  0.07

Output
- ΔE_f: -0.292 eV per atom
- Magnetic moment: 0.083 μB/atom